1.
GGA-PBEsol CdH2Se2, relaxed; space group = I4/mmm, No. 139; raw total energy = -3.04 eV/atom; DOS(E_F) = 1.1 states/eV/f.u.; total moment = 0.0 Bohr magnetons per cell
1.0
4.597 -0.032 -0.053
-1.666 4.284 0.053
-1.666 -1.988 3.795
Se Cd H
2 1 2
direct
0.500 0.250 0.750 Se
0.500 0.750 0.250 Se
0.000 0.000 0.000 Cd
0.000 0.569 0.569 H
0.000 0.431 0.431 H


2.
GGA-PBEsol BaNb3Al, relaxed; space group = Pm-3m, No. 221; raw total energy = -5.27 eV/atom; ΔH_f (0 K) = 2.4721 eV/atom; DOS(E_F) = 4.7 states/eV/f.u.; total moment = 0.0 Bohr magnetons per cell
1.0
4.998 0.000 0.000
0.000 4.998 0.000
0.000 0.000 4.998
Nb Al Ba
3 1 1
direct
0.500 0.000 0.000 Nb
0.000 0.000 0.500 Nb
0.000 0.500 0.000 Nb
0.500 0.500 0.500 Al
0.000 0.000 0.000 Ba


What did the second record say?
GGA-PBEsol BaNb3Al, relaxed; space group = Pm-3m, No. 221; raw total energy = -5.27 eV/atom; ΔH_f (0 K) = 2.4721 eV/atom; DOS(E_F) = 4.7 states/eV/f.u.; total moment = 0.0 Bohr magnetons per cell
1.0
4.998 0.000 0.000
0.000 4.998 0.000
0.000 0.000 4.998
Nb Al Ba
3 1 1
direct
0.500 0.000 0.000 Nb
0.000 0.000 0.500 Nb
0.000 0.500 0.000 Nb
0.500 0.500 0.500 Al
0.000 0.000 0.000 Ba